1.
{"formula": "Tb3DyIn3", "functional": "PBE", "state": "relaxed", "lattice_angstrom": [[5.170, 0.000, 0.000], [0.000, 9.377, 0.000], [0.000, -4.689, 8.121]], "species": ["In", "In", "In", "In", "In", "In", "Tb", "Tb", "Tb", "Tb", "Tb", "Tb", "Dy", "Dy"], "fractional_positions": [[0.250, 0.071, 0.616], [0.250, 0.545, 0.929], [0.750, 0.616, 0.545], [0.750, 0.455, 0.071], [0.250, 0.384, 0.455], [0.750, 0.929, 0.384], [0.750, 0.765, 0.998], [0.750, 0.233, 0.235], [0.750, 0.002, 0.767], [0.250, 0.767, 0.765], [0.250, 0.998, 0.233], [0.250, 0.235, 0.002], [0.750, 0.333, 0.667], [0.250, 0.667, 0.333]], "n_ef_per_ev_cell": 10.8, "de_polymorph_ev_per_fu": 0.00, "e_form_ev_per_atom": -0.3328, "space_group": "P6_3/m", "magmom_total_mub_per_cell": 0.00}

=====

2.
{"formula": "Hf2GaFe3", "functional": "PBE", "state": "relaxed", "lattice_angstrom": [[4.994, 0.000, 0.000], [-2.497, 4.325, 0.000], [0.000, 0.000, 8.097]], "species": ["Fe", "Fe", "Fe", "Fe", "Fe", "Fe", "Hf", "Hf", "Hf", "Hf", "Ga", "Ga"], "fractional_positions": [[0.173, 0.827, 0.250], [0.827, 0.654, 0.750], [0.827, 0.173, 0.750], [0.346, 0.173, 0.750], [0.654, 0.827, 0.250], [0.173, 0.346, 0.250], [0.667, 0.333, 0.065], [0.333, 0.667, 0.565], [0.333, 0.667, 0.935], [0.667, 0.333, 0.435], [0.000, 0.000, 0.000], [0.000, 0.000, 0.500]], "n_ef_per_ev_cell": 7.6, "e_form_ev_per_atom": -0.4152, "space_group": "P6_3/mmc", "magmom_total_mub_per_cell": 7.21}

=====

3.
{"formula": "Fe3TeP3", "functional": "PBE", "state": "relaxed", "lattice_angstrom": [[-3.316, -0.765, 7.479], [-5.878, -3.056, -5.097], [1.560, -3.548, 0.328]], "species": ["P", "P", "P", "P", "P", "P", "Fe", "Fe", "Fe", "Fe", "Fe", "Fe", "Te", "Te"], "fractional_positions": [[0.867, 0.684, 0.750], [0.802, 0.197, 0.750], [0.133, 0.316, 0.250], [0.323, 0.129, 0.750], [0.677, 0.871, 0.250], [0.198, 0.803, 0.250], [0.191, 0.069, 0.250], [0.114, 0.886, 0.750], [0.072, 0.187, 0.750], [0.928, 0.813, 0.250], [0.886, 0.114, 0.250], [0.809, 0.931, 0.750], [0.399, 0.601, 0.250], [0.601, 0.399, 0.750]], "n_ef_per_ev_cell": 11.3, "raw_formation_energy_ev_per_atom": -0.064, "space_group": "P2_1/m", "magmom_total_mub_per_cell": 1.22}

=====

4.
{"formula": "BaLi10Cd2", "functional": "PBE", "state": "relaxed", "lattice_angstrom": [[-1.110, -4.552, -6.158], [3.086, -5.397, 4.607], [-9.193, -2.356, 3.398]], "species": ["Li", "Li", "Li", "Li", "Li", "Li", "Li", "Li", "Li", "Li", "Li", "Li", "Li", "Li", "Li", "Li", "Li", "Li", "Li", "Li", "Cd", "Cd", "Cd", "Cd", "Ba", "Ba"], "fractional_positions": [[0.238, 0.238, 0.000], [0.608, 0.392, 0.926], [0.607, 0.881, 0.250], [0.240, 0.482, 0.750], [0.608, 0.392, 0.574], [0.518, 0.760, 0.750], [0.762, 0.762, 0.000], [0.181, 0.819, 0.599], [0.482, 0.240, 0.250], [0.119, 0.393, 0.250], [0.238, 0.238, 0.500], [0.393, 0.119, 0.750], [0.392, 0.608, 0.074], [0.760, 0.518, 0.250], [0.881, 0.607, 0.750], [0.762, 0.762, 0.500], [0.392, 0.608, 0.426], [0.819, 0.181, 0.099], [0.181, 0.819, 0.901], [0.819, 0.181, 0.401], [0.000, 0.500, 0.500], [0.500, 0.000, 0.500], [0.000, 0.500, 0.000], [0.500, 0.000, 0.000], [0.885, 0.115, 0.750], [0.115, 0.885, 0.250]], "n_ef_per_ev_cell": 13.0, "e_form_ev_per_atom": -0.0911, "space_group": "Cmcm", "magmom_total_mub_per_cell": 0.00}